[1]
Computed, not measured: an optimized crystal structure of CeTh3In2 at the PBE-GGA level of DFT.

```
24
Lattice="9.100 0.000 0.000 0.000 3.536 0.000 0.000 0.000 21.992" Properties=species:S:1:pos:R:3 pbc="T T T"
Ce 0.624 0.884 1.508
Ce 3.926 2.652 12.504
Ce 5.175 0.884 9.488
Ce 8.476 2.652 20.484
Th 0.072 0.884 7.452
Th 1.103 2.652 17.612
Th 1.242 0.884 11.831
Th 3.308 2.652 0.835
Th 3.447 0.884 6.616
Th 4.478 2.652 18.448
Th 4.623 0.884 3.544
Th 5.653 2.652 15.376
Th 5.792 0.884 21.157
Th 7.858 2.652 10.161
Th 7.998 0.884 4.380
Th 9.028 2.652 14.540
In 1.784 2.652 4.222
In 2.196 0.884 20.251
In 2.354 2.652 9.255
In 2.766 0.884 15.218
In 6.334 2.652 6.774
In 6.746 0.884 12.736
In 6.904 2.652 1.740
In 7.316 0.884 17.769
```

Output
- relative energy among the computed polymorphs (eV per atom) = 0.061
- crystal system = orthorhombic
- V (Å³ per cell) = 707.6
- mass density (g/cm3) = 10.00
- formation enthalpy at 0 K (meV/atom) = -94

[2]
Computed, not measured: an optimized crystal structure of CeThIn6 at the PBE-GGA level of DFT.

```
8
Lattice="6.806 0.000 0.000 -3.403 5.894 0.000 0.000 0.000 5.252" Properties=species:S:1:pos:R:3 pbc="T T T"
Ce 0.000 0.000 0.000
Th 3.403 1.965 2.626
In -1.597 3.007 0.000
In 0.000 2.056 2.626
In -1.622 4.866 2.626
In 1.597 3.007 0.000
In 0.000 5.773 0.000
In 1.622 4.866 2.626
```

Output
- relative energy among the computed polymorphs (eV per atom) = 0.056
- crystal system = hexagonal
- V (Å³ per cell) = 210.7
- mass density (g/cm3) = 8.36
- formation enthalpy at 0 K (meV/atom) = -327

[3]
Computed, not measured: an optimized crystal structure of Ce2ThIn2 at the PBE-GGA level of DFT.

```
5
Lattice="7.726 -1.817 0.000 7.726 1.817 0.000 -1.285 0.000 5.060" Properties=species:S:1:pos:R:3 pbc="T T T"
Ce 3.293 0.000 0.852
Ce 10.874 0.000 4.209
Th 7.726 0.000 0.000
In 0.753 0.000 2.877
In 13.414 0.000 2.183
```

Output
- relative energy among the computed polymorphs (eV per atom) = 0.000
- crystal system = monoclinic
- V (Å³ per cell) = 142.0
- mass density (g/cm3) = 8.67
- formation enthalpy at 0 K (meV/atom) = -205

[4]
Computed, not measured: an optimized crystal structure of Ce3Th8In2 at the PBE-GGA level of DFT.

```
13
Lattice="7.888 0.000 0.000 0.000 5.033 0.000 -2.303 0.000 10.342" Properties=species:S:1:pos:R:3 pbc="T T T"
Ce 0.000 0.000 0.000
Ce 0.064 2.516 9.611
Ce 5.521 2.516 0.730
Th -0.701 0.000 7.205
Th 0.716 2.516 2.379
Th 1.627 2.516 6.501
Th 3.150 0.000 1.541
Th 2.435 0.000 8.801
Th 3.958 2.516 3.841
Th 4.869 2.516 7.963
Th 6.286 0.000 3.137
In 1.450 0.000 4.436
In 4.135 0.000 5.906
```

Output
- crystal system = monoclinic
- V (Å³ per cell) = 410.5
- mass density (g/cm3) = 10.14
- formation enthalpy at 0 K (meV/atom) = 63

V of number 4 (Ce3Th8In2)?
410.5 Å³ per cell